Entry 1:
# GGA-PBE CoBiB2C, optimized geometry
# Crystal system = tetragonal
# E_form = 1.67 eV/atom
# Density of states at the Fermi level = 0.4306 states/eV/atom
data_CoBiB2C
_cell_length_a 3.378
_cell_length_b 3.378
_cell_length_c 5.873
_cell_angle_alpha 90.00
_cell_angle_beta 90.00
_cell_angle_gamma 90.00
_symmetry_space_group_name_H-M 'P 1'
_symmetry_Int_Tables_number 1
_symmetry_space_group_name_Hall 'P 1'
loop_
_atom_site_label
_atom_site_type_symbol
_atom_site_fract_x
_atom_site_fract_y
_atom_site_fract_z
Co1 Co 0.000 0.000 0.000
Bi1 Bi 0.500 0.500 0.000
B1 B 0.000 0.500 0.500
B2 B 0.500 0.000 0.500
C1 C 0.500 0.500 0.500

Entry 2:
# GGA-PBE Y3Zn2Ga9, optimized geometry
# Crystal system = orthorhombic
# E_form = -0.45 eV/atom
# Density of states at the Fermi level = 0.2917 states/eV/atom
data_Y3Zn2Ga9
_cell_length_a 8.299
_cell_length_b 8.299
_cell_length_c 8.299
_cell_angle_alpha 150.63
_cell_angle_beta 105.20
_cell_angle_gamma 82.32
_symmetry_space_group_name_H-M 'P 1'
_symmetry_Int_Tables_number 1
_symmetry_space_group_name_Hall 'P 1'
loop_
_atom_site_label
_atom_site_type_symbol
_atom_site_fract_x
_atom_site_fract_y
_atom_site_fract_z
Y1 Y 0.000 0.000 0.000
Y2 Y 0.320 0.320 0.000
Y3 Y 0.680 0.680 0.000
Zn1 Zn 0.286 0.500 0.786
Zn2 Zn 0.714 0.500 0.214
Ga1 Ga 0.037 0.662 0.374
Ga2 Ga 0.136 0.860 0.276
Ga3 Ga 0.288 0.662 0.626
Ga4 Ga 0.416 0.140 0.276
Ga5 Ga 0.500 0.000 0.500
Ga6 Ga 0.584 0.860 0.724
Ga7 Ga 0.712 0.338 0.374
Ga8 Ga 0.864 0.140 0.724
Ga9 Ga 0.963 0.338 0.626

Entry 3:
# GGA-PBE RbBaNa2Au, optimized geometry
# Crystal system = tetragonal
# E_form = -0.15 eV/atom
# Density of states at the Fermi level = 0.9441 states/eV/atom
# Polymorph energy (0 for the lowest one) = 0 meV/atom
data_RbBaNa2Au
_cell_length_a 6.137
_cell_length_b 6.137
_cell_length_c 6.248
_cell_angle_alpha 90.00
_cell_angle_beta 90.00
_cell_angle_gamma 90.00
_symmetry_space_group_name_H-M 'P 1'
_symmetry_Int_Tables_number 1
_symmetry_space_group_name_Hall 'P 1'
loop_
_atom_site_label
_atom_site_type_symbol
_atom_site_fract_x
_atom_site_fract_y
_atom_site_fract_z
Rb1 Rb 0.000 0.000 0.000
Ba1 Ba 0.500 0.500 0.000
Na1 Na 0.000 0.500 0.500
Na2 Na 0.500 0.000 0.500
Au1 Au 0.500 0.500 0.500

Entry 4:
# GGA-PBE GaAg4S5, optimized geometry
# Crystal system = tetragonal
# E_form (uncorrected) = -92 meV/atom
# Density of states at the Fermi level = 0.5618 states/eV/atom
data_GaAg4S5
_cell_length_a 6.543
_cell_length_b 6.543
_cell_length_c 6.543
_cell_angle_alpha 99.02
_cell_angle_beta 99.02
_cell_angle_gamma 133.36
_symmetry_space_group_name_H-M 'P 1'
_symmetry_Int_Tables_number 1
_symmetry_space_group_name_Hall 'P 1'
loop_
_atom_site_label
_atom_site_type_symbol
_atom_site_fract_x
_atom_site_fract_y
_atom_site_fract_z
Ga1 Ga 0.000 0.000 0.000
Ag1 Ag 0.202 0.600 0.823
Ag2 Ag 0.379 0.202 0.602
Ag3 Ag 0.600 0.776 0.398
Ag4 Ag 0.776 0.379 0.177
S1 S 0.055 0.267 0.345
S2 S 0.267 0.922 0.212
S3 S 0.487 0.487 0.000
S4 S 0.710 0.055 0.788
S5 S 0.922 0.710 0.655

Entry 5:
# GGA-PBE Dy2SbTe, optimized geometry
# Crystal system = monoclinic
# E_form (uncorrected) = -1253 meV/atom
# Density of states at the Fermi level = 0.4377 states/eV/atom
# Polymorph energy (0 for the lowest one) = 0 meV/atom
data_Dy2SbTe
_cell_length_a 4.370
_cell_length_b 4.370
_cell_length_c 7.588
_cell_angle_alpha 106.79
_cell_angle_beta 106.79
_cell_angle_gamma 60.03
_symmetry_space_group_name_H-M 'P 1'
_symmetry_Int_Tables_number 1
_symmetry_space_group_name_Hall 'P 1'
loop_
_atom_site_label
_atom_site_type_symbol
_atom_site_fract_x
_atom_site_fract_y
_atom_site_fract_z
Dy1 Dy 0.246 0.246 0.238
Dy2 Dy 0.754 0.754 0.762
Sb1 Sb 0.500 0.500 0.000
Te1 Te 0.000 0.000 0.500

Entry 6:
# GGA-PBE LiMn4Co, optimized geometry
# Crystal system = cubic
# E_form = 0.38 eV/atom
# Density of states at the Fermi level = 1.6406 states/eV/atom
data_LiMn4Co
_cell_length_a 4.615
_cell_length_b 4.615
_cell_length_c 4.615
_cell_angle_alpha 60.00
_cell_angle_beta 60.00
_cell_angle_gamma 60.00
_symmetry_space_group_name_H-M 'P 1'
_symmetry_Int_Tables_number 1
_symmetry_space_group_name_Hall 'P 1'
loop_
_atom_site_label
_atom_site_type_symbol
_atom_site_fract_x
_atom_site_fract_y
_atom_site_fract_z
Li1 Li 0.000 0.000 0.000
Mn1 Mn 0.125 0.625 0.625
Mn2 Mn 0.625 0.125 0.625
Mn3 Mn 0.625 0.625 0.125
Mn4 Mn 0.625 0.625 0.625
Co1 Co 0.250 0.250 0.250

Entry 7:
# GGA-PBE Tm2UAg2Se6, optimized geometry
# Crystal system = monoclinic
# E_form (uncorrected) = -1154 meV/atom
# Density of states at the Fermi level = 0.5919 states/eV/atom
data_Tm2UAg2Se6
_cell_length_a 7.202
_cell_length_b 7.202
_cell_length_c 6.817
_cell_angle_alpha 94.77
_cell_angle_beta 94.77
_cell_angle_gamma 120.53
_symmetry_space_group_name_H-M 'P 1'
_symmetry_Int_Tables_number 1
_symmetry_space_group_name_Hall 'P 1'
loop_
_atom_site_label
_atom_site_type_symbol
_atom_site_fract_x
_atom_site_fract_y
_atom_site_fract_z
Tm1 Tm 0.166 0.834 0.000
Tm2 Tm 0.834 0.166 0.000
U1 U 0.500 0.500 0.000
Ag1 Ag 0.383 0.617 0.500
Ag2 Ag 0.617 0.383 0.500
Se1 Se 0.126 0.465 0.772
Se2 Se 0.203 0.203 0.231
Se3 Se 0.465 0.126 0.772
Se4 Se 0.535 0.874 0.228
Se5 Se 0.797 0.797 0.769
Se6 Se 0.874 0.535 0.228

Entry 8:
# GGA-PBE AgSnTe2, optimized geometry
# Crystal system = monoclinic
# E_form (uncorrected) = -87 meV/atom
# Density of states at the Fermi level = 0.5355 states/eV/atom
data_AgSnTe2
_cell_length_a 4.202
_cell_length_b 4.202
_cell_length_c 7.874
_cell_angle_alpha 105.85
_cell_angle_beta 105.85
_cell_angle_gamma 59.76
_symmetry_space_group_name_H-M 'P 1'
_symmetry_Int_Tables_number 1
_symmetry_space_group_name_Hall 'P 1'
loop_
_atom_site_label
_atom_site_type_symbol
_atom_site_fract_x
_atom_site_fract_y
_atom_site_fract_z
Ag1 Ag 0.000 0.000 0.000
Sn1 Sn 0.832 0.832 0.496
Te1 Te 0.408 0.408 0.221
Te2 Te 0.588 0.588 0.768

Q: Which value of density of states at the Fermi level does entry 3 give?
A: 0.9441 states/eV/atom